# 1
The following is a DFT calculation (GGA-PBE) of an optimized crystal structure of NbTlIr2.

Summary:
Its magnetic moment is 0.000 μB per atom. The formation energy comes out at 1.6 eV/f.u.

The structure in CIF format:
```
data_NbTlIr2
_cell_length_a 7.3827
_cell_length_b 7.3827
_cell_length_c 5.9555
_cell_angle_alpha 51.70
_cell_angle_beta 51.70
_cell_angle_gamma 90.00
_symmetry_space_group_name_H-M 'P 1'
_symmetry_Int_Tables_number 1
loop_
_symmetry_equiv_pos_as_xyz
'x,y,z'
loop_
_atom_site_label
_atom_site_type_symbol
_atom_site_fract_x
_atom_site_fract_y
_atom_site_fract_z
Ir1 Ir 0.8750 0.8375 0.7500
Nb1 Nb 0.2500 0.7500 0.5000
Tl1 Tl 0.0000 0.0000 0.0000
Tl2 Tl 0.7500 0.2500 0.5000
Ir2 Ir 0.1625 0.6250 0.2500
Nb2 Nb 0.5000 0.5000 0.0000
Ir3 Ir 0.3750 0.4125 0.7500
Ir4 Ir 0.5875 0.1250 0.2500
```

# 2
The following is a DFT calculation (GGA-PBE) of an optimized crystal structure of NbTlIrW2.

Summary:
Its magnetic moment is 0.231 μB per atom. The formation energy comes out at 10.1 eV/f.u.

The structure in CIF format:
```
data_NbTlIrW2
_cell_length_a 4.8625
_cell_length_b 4.8164
_cell_length_c 4.8625
_cell_angle_alpha 90.00
_cell_angle_beta 90.00
_cell_angle_gamma 90.00
_symmetry_space_group_name_H-M 'P 1'
_symmetry_Int_Tables_number 1
loop_
_symmetry_equiv_pos_as_xyz
'x,y,z'
loop_
_atom_site_label
_atom_site_type_symbol
_atom_site_fract_x
_atom_site_fract_y
_atom_site_fract_z
Ir1 Ir 0.0000 0.5000 0.0000
W1 W 0.0000 0.0000 0.5000
Nb1 Nb 0.0000 0.0000 0.0000
W2 W 0.5000 0.0000 0.0000
Tl1 Tl 0.5000 0.5000 0.5000
```